Entry 1:
This record from the Alexandria database describes an optimized crystal structure of CaPdCl2. The functional is PBE.

Summary:
The value obtained for the raw formation energy is -1.25 eV per atom. As for the spin magnetization: 0.00 Bohr magnetons per cell. The raw total energy is -15.88 eV per formula unit. Its relative energy among the computed polymorphs is 0.0000 eV/atom. Its space-group type is R-3m (166).

Unit cell a=7.570 b=7.570 c=7.570 alpha=32.74 beta=32.74 gamma=32.74
Fractional positions:
Pd 0.000 0.000 0.000
Ca 0.500 0.500 0.500
Cl 0.108 0.108 0.108
Cl 0.892 0.892 0.892

***

Entry 2:
This record from the Alexandria database describes an optimized crystal structure of CaPd3Cl. The functional is PBE.

Summary:
The value obtained for the raw formation energy is -0.09 eV per atom. As for the spin magnetization: 0.00 Bohr magnetons per cell. The raw total energy is -19.87 eV per formula unit. Its relative energy among the computed polymorphs is 0.0000 eV/atom. Its space-group type is Pm-3m (221).

Unit cell a=4.702 b=4.702 c=4.702 alpha=90.00 beta=90.00 gamma=90.00
Fractional positions:
Cl 0.000 0.000 0.000
Pd 0.500 0.000 0.000
Pd 0.000 0.000 0.500
Pd 0.000 0.500 0.000
Ca 0.500 0.500 0.500